(1)
GGA-PBEsol LiSc, optimized geometry; ΔE_f = 0.10 eV/atom; ρ = 1.94 Mg/m³; crystal system = trigonal; N(E_F) = 4.5 states/eV/cell; symmetry = No. 166; size of the total moment = 0.00 μB/atom
1.0
1.587 0.917 10.174
-1.587 0.917 10.174
0.000 -1.833 10.174
Li Sc
2 2
Cartesian
0.000 0.000 3.868
0.000 0.000 26.654
0.000 0.000 11.437
0.000 0.000 19.085



(2)
GGA-PBEsol CdAgAu2N, optimized geometry; ρ = 12.47 Mg/m³; crystal system = tetragonal; N(E_F) = 2.9 states/eV/cell; symmetry = No. 123; size of the total moment = 0.00 μB/atom; ΔE_f (raw) = 0.599 eV/atom
1.0
4.385 0.000 0.000
0.000 4.385 0.000
0.000 0.000 4.352
Cd Ag Au N
1 1 2 1
Cartesian
0.000 0.000 0.000
2.192 2.192 0.000
0.000 2.192 2.176
2.192 0.000 2.176
2.192 2.192 2.176



(3)
GGA-PBEsol Y3Si3Rh, optimized geometry; ρ = 5.49 Mg/m³; crystal system = monoclinic; N(E_F) = 8.6 states/eV/cell; symmetry = No. 12; size of the total moment = 0.00 μB/atom; ΔE_f (raw) = -1.010 eV/atom
1.0
5.238 -2.092 0.000
5.238 2.092 0.000
-4.782 0.000 12.534
Y Si Rh
6 6 2
Cartesian
-1.574 0.000 4.702
-3.335 0.000 11.540
1.466 0.000 2.852
4.229 0.000 9.682
9.030 0.000 0.993
7.269 0.000 7.832
1.685 0.000 5.718
-0.371 0.000 11.593
1.087 0.000 9.555
4.608 0.000 2.978
6.066 0.000 0.941
4.010 0.000 6.816
-0.139 0.000 7.321
5.834 0.000 5.213



Number 1: V 22.2 Å³/atom. Number 2: V 16.7 Å³/atom. Number 3: V 19.6 Å³/atom.